Computed, not measured: a relaxed LiCaSiAs2 crystal at the PBE-GGA level of DFT.

Unit cell a=5.6348 b=5.6285 c=7.1159 alpha=113.30 beta=90.00 gamma=90.00
With the nearest neighbours (Å) after each atom.
Positions (direct):
1 As 0.2586 0.3553 0.7106  1 Si 2.39
2 Li 0.5000 0.7500 0.0000  4 As 2.72, 2 Li 2.81
3 Ca 0.2385 0.7500 0.5000  8 As 3.12-3.15
4 Si 0.0000 0.5000 0.0000  2 As 2.39
5 Ca 0.7615 0.2500 0.5000  8 As 3.12-3.15
6 Si 0.0000 0.0000 0.0000  2 As 2.39
7 As 0.2586 0.1447 0.2894  1 Si 2.39
8 Li 0.5000 0.2500 0.0000  4 As 2.72, 2 Li 2.81
9 As 0.7414 0.6447 0.2894  1 Si 2.39
10 As 0.7414 0.8553 0.7106  1 Si 2.39

Output
Formation energy from raw total energies, kcal/mol of atoms: -9.175
Symmetry: Cmme, No. 67



Computed, not measured: a relaxed PrNd3Sm6 crystal at the PBE-GGA level of DFT.

Unit cell a=6.4628 b=11.1482 c=11.1482 alpha=120.42 beta=90.00 gamma=90.00
With the nearest neighbours (Å) after each atom.
Positions (direct):
1 Nd 0.0834 0.3849 0.6151  7 Sm 3.50-3.84, 2 Nd 3.67, 1 Pr 3.77
2 Nd 0.4626 0.2930 0.0602  1 Pr 3.32, 6 Sm 3.35-3.59, 1 Nd 3.67
3 Sm 0.8751 0.4720 0.0554  3 Sm 3.17-3.53, 1 Pr 3.32, 2 Nd 3.35-3.50
4 Sm 0.3751 0.5280 0.9446  3 Sm 3.17-3.53, 1 Pr 3.32, 2 Nd 3.35-3.50
5 Nd 0.5834 0.6151 0.3849  7 Sm 3.50-3.84, 2 Nd 3.67, 1 Pr 3.77
6 Sm 0.8751 0.9446 0.5280  3 Sm 3.17-3.53, 1 Pr 3.32, 2 Nd 3.35-3.50
7 Sm 0.0535 0.3729 0.2890  4 Nd 3.46-3.84, 5 Sm 3.50-3.88
8 Sm 0.5535 0.2890 0.3729  4 Nd 3.46-3.84, 5 Sm 3.50-3.88
9 Sm 0.3600 0.9647 0.0353  1 Pr 3.41, 2 Sm 3.51, 4 Nd 3.59
10 Sm 0.8600 0.0353 0.9647  1 Pr 3.41, 2 Sm 3.51, 4 Nd 3.59
11 Pr 0.6119 0.8098 0.1902  6 Sm 3.32-3.69, 2 Nd 3.32
12 Sm 0.1477 0.7223 0.2777  4 Sm 3.17-3.53, 1 Pr 3.45, 1 Nd 3.50
13 Sm 0.3751 0.0554 0.4720  3 Sm 3.17-3.53, 1 Pr 3.32, 2 Nd 3.35-3.50
14 Nd 0.9626 0.7070 0.9398  1 Pr 3.32, 6 Sm 3.35-3.59, 1 Nd 3.67
15 Pr 0.1119 0.1902 0.8098  6 Sm 3.32-3.69, 2 Nd 3.32
16 Nd 0.4626 0.9398 0.7070  1 Pr 3.32, 6 Sm 3.35-3.59, 1 Nd 3.67
17 Sm 0.0535 0.7110 0.6271  4 Nd 3.46-3.84, 5 Sm 3.50-3.88
18 Nd 0.9626 0.0602 0.2930  1 Pr 3.32, 6 Sm 3.35-3.59, 1 Nd 3.67
19 Sm 0.6477 0.2777 0.7223  4 Sm 3.17-3.53, 1 Pr 3.45, 1 Nd 3.50
20 Sm 0.5535 0.6271 0.7110  4 Nd 3.46-3.84, 5 Sm 3.50-3.88

Output
DFT total energy, eV per atom: -4.601
Symmetry: Cmc2_1, No. 36



Computed, not measured: a relaxed Ba2TeRu crystal at the PBE-GGA level of DFT.

Unit cell a=4.8790 b=4.9305 c=6.2459 alpha=66.73 beta=90.00 gamma=90.00
With the nearest neighbours (Å) after each atom.
Positions (direct):
1 Ba 0.0000 0.9871 0.9014  2 Ru 3.21-3.22
2 Ba 0.5000 0.2725 0.3307  3 Te 3.35-3.47, 4 Ru 3.67-3.68
3 Te 0.5000 0.5744 0.7267  2 Ru 2.66
4 Ru 0.0000 0.6661 0.5412  2 Te 2.66

Output
Formation energy from raw total energies, kcal/mol of atoms: -8.918
Symmetry: Pm, No. 6



Computed, not measured: a relaxed PrTm2Co crystal at the PBE-GGA level of DFT.

Unit cell a=3.3822 b=3.3822 c=8.8821 alpha=90.00 beta=90.00 gamma=90.00
With the nearest neighbours (Å) after each atom.
Positions (direct):
1 Tm 0.0000 0.0000 0.8224  4 Co 2.86, 1 Tm 3.15
2 Tm 0.0000 0.0000 0.1776  4 Co 2.86, 1 Tm 3.15
3 Co 0.5000 0.5000 0.0000  8 Tm 2.86
4 Pr 0.5000 0.5000 0.5000  4 Pr 3.38, 8 Tm 3.73

Output
DFT total energy, eV per atom: -5.317
Symmetry: P4/mmm, No. 123



Computed, not measured: a relaxed NaNbS2N crystal at the PBE-GGA level of DFT.

Unit cell a=4.9291 b=4.9291 c=4.0402 alpha=90.00 beta=90.00 gamma=90.00
With the nearest neighbours (Å) after each atom.
Positions (direct):
1 Nb 0.0000 0.0000 0.0000  2 N 2.02
2 S 0.0000 0.5000 0.0000  2 Nb 2.46
3 S 0.5000 0.0000 0.0000  2 Nb 2.46
4 Na 0.5000 0.5000 0.5000  8 S 3.19, 4 N 3.49
5 N 0.0000 0.0000 0.5000  2 Nb 2.02

Output
Formation energy from raw total energies, kcal/mol of atoms: -10.775
Symmetry: P4/mmm, No. 123



Computed, not measured: a relaxed InRu crystal at the PBE-GGA level of DFT.

Unit cell a=3.5560 b=3.5560 c=6.6893 alpha=90.00 beta=90.00 gamma=90.00
With the nearest neighbours (Å) after each atom.
Positions (direct):
1 In 0.7500 0.7500 0.6600  4 Ru 2.89
2 Ru 0.7500 0.2500 0.0000  4 Ru 2.51
3 In 0.2500 0.2500 0.3400  4 Ru 2.89
4 Ru 0.2500 0.7500 0.0000  4 Ru 2.51

Output
DFT total energy, eV per atom: -5.512
Symmetry: P4/nmm, No. 129



Computed, not measured: a relaxed NaLi4Pd crystal at the PBE-GGA level of DFT.

Unit cell a=5.3272 b=5.3272 c=5.3272 alpha=60.00 beta=60.00 gamma=60.00
With the nearest neighbours (Å) after each atom.
Positions (direct):
1 Li 0.6271 0.1188 0.6270  6 Li 2.62-2.71
2 Li 0.6271 0.6270 0.1188  6 Li 2.62-2.71
3 Pd 0.0000 0.0000 0.0000  12 Li 3.12, 4 Na 3.26
4 Li 0.1188 0.6270 0.6270  6 Li 2.62-2.71
5 Li 0.6271 0.6270 0.6270  6 Li 2.62-2.71
6 Na 0.2500 0.2500 0.2500  12 Li 3.13, 4 Pd 3.26

Output
DFT total energy, eV per atom: -2.365
Symmetry: F-43m, No. 216



Computed, not measured: a relaxed CsNiSe crystal at the PBE-GGA level of DFT.

Unit cell a=4.1637 b=4.1637 c=11.5157 alpha=90.00 beta=90.00 gamma=90.00
With the nearest neighbours (Å) after each atom.
Positions (direct):
1 Se 0.5000 0.0000 0.6079  4 Ni 2.42
2 Ni 0.5000 0.5000 0.5000  4 Se 2.42
3 Cs 0.0000 0.5000 0.7762  4 Se 3.52, 4 Ni 3.80
4 Ni 0.0000 0.0000 0.5000  4 Se 2.42
5 Cs 0.5000 0.0000 0.2238  4 Se 3.52, 4 Ni 3.80
6 Se 0.0000 0.5000 0.3921  4 Ni 2.42

Output
Formation energy from raw total energies, kcal/mol of atoms: -10.805
Symmetry: P4/nmm, No. 129



Computed, not measured: a relaxed La2TmTl crystal at the PBE-GGA level of DFT.

Unit cell a=4.7374 b=4.5498 c=11.9825 alpha=90.00 beta=101.49 gamma=90.00
With the nearest neighbours (Å) after each atom.
Positions (direct):
1 Tl 0.8276 0.7500 0.6574  5 Tm 3.05-3.35, 2 La 3.27
2 Tl 0.1724 0.2500 0.3426  5 Tm 3.05-3.35, 2 La 3.27
3 La 0.9429 0.2500 0.8858  6 La 3.31-3.52, 2 Tl 3.52
4 La 0.0571 0.7500 0.1142  6 La 3.31-3.52, 2 Tl 3.52
5 Tm 0.6994 0.7500 0.3976  5 Tl 3.05-3.35
6 Tm 0.3006 0.2500 0.6024  5 Tl 3.05-3.35
7 La 0.4244 0.7500 0.8496  2 Tl 3.27, 4 La 3.31
8 La 0.5756 0.2500 0.1504  2 Tl 3.27, 4 La 3.31

Output
DFT total energy, eV per atom: -4.258
Symmetry: P2_1/m, No. 11



Computed, not measured: a relaxed PuInSnSb crystal at the PBE-GGA level of DFT.

Unit cell a=4.4637 b=4.6590 c=4.9100 alpha=90.00 beta=90.00 gamma=90.00
With the nearest neighbours (Å) after each atom.
Positions (direct):
1 In 0.5000 0.5000 0.0000  4 Sn 3.23, 4 Sb 3.32, 4 Pu 3.38
2 Sn 0.0000 0.0000 0.0000  4 In 3.23, 4 Pu 3.32, 4 Sb 3.38
3 Sb 0.0000 0.5000 0.5000  4 Pu 3.23, 4 In 3.32, 4 Sn 3.38
4 Pu 0.5000 0.0000 0.5000  4 Sb 3.23, 4 Sn 3.32, 4 In 3.38

Output
Formation energy from raw total energies, kcal/mol of atoms: -8.329
Symmetry: Pmmm, No. 47



Computed, not measured: a relaxed TlRuRh2 crystal at the PBE-GGA level of DFT.

Unit cell a=3.2745 b=3.2745 c=6.1049 alpha=90.00 beta=90.00 gamma=90.00
With the nearest neighbours (Å) after each atom.
Positions (direct):
1 Ru 0.0000 0.0000 0.4647  5 Rh 2.63-2.72, 4 Tl 2.92
2 Tl 0.5000 0.5000 0.7554  6 Rh 2.82-3.09, 4 Ru 2.92
3 Rh 0.0000 0.0000 0.0191  1 Ru 2.72, 4 Rh 2.75, 4 Tl 2.82
4 Rh 0.5000 0.5000 0.2609  4 Ru 2.63, 4 Rh 2.75

Output
DFT total energy, eV per atom: -6.199
Symmetry: P4mm, No. 99



Computed, not measured: a relaxed NpBiO5 crystal at the PBE-GGA level of DFT.

Unit cell a=4.1105 b=5.8209 c=5.8209 alpha=71.97 beta=69.33 gamma=69.33
With the nearest neighbours (Å) after each atom.
Positions (direct):
1 O 0.0000 0.6992 0.3008  1 Np 2.06
2 Np 0.0000 0.0000 0.0000  6 O 1.93-2.06
3 O 0.2277 0.7722 0.7722  1 Np 1.93
4 O 0.0000 0.3008 0.6992  1 Np 2.06
5 O 0.5000 0.0000 0.0000  2 Np 2.06
6 O 0.7723 0.2278 0.2278  1 Np 1.93
7 Bi 0.5000 0.5000 0.5000  6 O 2.31-2.47

Output
Formation energy from raw total energies, kcal/mol of atoms: -46.292
Symmetry: Immm, No. 71



Computed, not measured: a relaxed Pr3YIn4 crystal at the PBE-GGA level of DFT.

Unit cell a=3.8510 b=3.8510 c=15.6289 alpha=90.00 beta=90.00 gamma=90.00
With the nearest neighbours (Å) after each atom.
Positions (direct):
1 Pr 0.5000 0.5000 0.5000  8 In 3.38
2 Y 0.5000 0.5000 0.0000  8 In 3.26
3 Pr 0.5000 0.5000 0.2441  8 In 3.38-3.39
4 Pr 0.5000 0.5000 0.7559  8 In 3.38-3.39
5 In 0.0000 0.0000 0.6280  8 Pr 3.38
6 In 0.0000 0.0000 0.8853  4 Y 3.26, 4 Pr 3.39, 1 In 3.59
7 In 0.0000 0.0000 0.3720  8 Pr 3.38
8 In 0.0000 0.0000 0.1147  4 Y 3.26, 4 Pr 3.39, 1 In 3.59

Output
DFT total energy, eV per atom: -4.468
Symmetry: P4/mmm, No. 123



Computed, not measured: a relaxed Hf2ThPd9 crystal at the PBE-GGA level of DFT.

Unit cell a=4.0993 b=4.0993 c=12.1483 alpha=90.00 beta=90.00 gamma=90.00
With the nearest neighbours (Å) after each atom.
Positions (direct):
1 Hf 0.0000 0.0000 0.6613  12 Pd 2.84-2.90
2 Pd 0.5000 0.5000 0.3389  8 Pd 2.83-2.84, 4 Hf 2.90
3 Pd 0.0000 0.5000 0.8228  2 Hf 2.84, 8 Pd 2.84-2.97, 2 Th 2.97
4 Pd 0.5000 0.0000 0.5000  8 Pd 2.83-2.90, 4 Hf 2.84
5 Pd 0.5000 0.5000 0.0000  4 Th 2.90, 8 Pd 2.97
6 Th 0.0000 0.0000 0.0000  12 Pd 2.90-2.97
7 Pd 0.0000 0.5000 0.5000  8 Pd 2.83-2.90, 4 Hf 2.84
8 Pd 0.5000 0.0000 0.1772  2 Hf 2.84, 8 Pd 2.84-2.97, 2 Th 2.97
9 Pd 0.5000 0.5000 0.6611  8 Pd 2.83-2.84, 4 Hf 2.90
10 Pd 0.5000 0.0000 0.8228  2 Hf 2.84, 8 Pd 2.84-2.97, 2 Th 2.97
11 Pd 0.0000 0.5000 0.1772  2 Hf 2.84, 8 Pd 2.84-2.97, 2 Th 2.97
12 Hf 0.0000 0.0000 0.3387  12 Pd 2.84-2.90

Output
DFT total energy, eV per atom: -7.033
Symmetry: P4/mmm, No. 123